A relaxed LaBeCl2O crystal, computed with PBE.

Summary:
Calculated total energy: -21.1 eV per cell
Formation energy without anion corrections: -0.768 eV/atom
Volume: 28.13 Å³/atom

a b c (Å): 5.8802 4.0679 5.8802
angles (deg): 90.00 90.00 90.00
Last column: magnetic moment on the atom in μB.
Fractional positions:
Be  0.5000  0.5000  0.5000  0.23
Cl  0.0000  0.0000  0.5000  0.09
Cl  0.5000  0.0000  0.0000  0.06
O  0.0000  0.0000  0.0000  0.01
La  0.0000  0.5000  0.0000  0.01

A relaxed Pa2MnSi6Pt crystal, computed with PBE.

Summary:
Calculated total energy: -141.4 eV per cell
Formation energy without anion corrections: -0.395 eV/atom
Volume: 16.99 Å³/atom

a b c (Å): 5.7801 5.7801 12.2091
angles (deg): 76.31 76.31 60.00
Last column: magnetic moment on the atom in μB.
Fractional positions:
Pa  0.8610  0.8610  0.4170  -0.17
Pa  0.1390  0.1390  0.5830  -0.17
Pa  0.7189  0.7189  0.8433  -0.04
Pa  0.2811  0.2811  0.1567  -0.04
Mn  0.0000  0.0000  0.0000  3.56
Mn  0.5000  0.5000  0.5000  -0.06
Si  0.8944  0.3695  0.3665  0.00
Si  0.3695  0.8944  0.3665  0.00
Si  0.3695  0.3695  0.3665  0.00
Si  0.1056  0.6305  0.6335  0.00
Si  0.6305  0.1056  0.6335  0.00
Si  0.6305  0.6305  0.6335  0.00
Si  0.7834  0.2065  0.8036  0.00
Si  0.2065  0.7834  0.8036  0.00
Si  0.2065  0.2065  0.8036  0.00
Si  0.2166  0.7935  0.1964  0.00
Si  0.7935  0.2166  0.1964  0.00
Si  0.7935  0.7935  0.1964  0.00
Pt  0.6401  0.6401  0.0796  0.00
Pt  0.3599  0.3599  0.9204  0.00